[1]
A plane-wave DFT calculation with GGA-PBE was carried out for crystalline Hg2WN at its relaxed geometry.

Output
The value obtained for the raw formation energy is 3.65 eV per formula unit. Its raw total energy is -4.559 eV per atom. The calculated density is 11.6 Mg/m³.

Lattice parameters (Å, degrees): 9.4074 9.4074 3.8733 90.00 90.00 90.00
Closest atoms and distances in Å follow each position.
Space group I-42d (No. 122)
One atom of each set of equivalent atoms:
Hg (0.1295, 0.7500, 0.1250)  2 N 2.69, 2 Hg 2.98
W (0.0000, 0.0000, 0.5000)  2 N 1.94
N (0.0000, 0.0000, 0.0000)  2 W 1.94


[2]
A plane-wave DFT calculation with GGA-PBE was carried out for crystalline Ti8SiSn2 at its relaxed geometry.

Output
The value obtained for the raw formation energy is -3.40 eV per formula unit. Its raw total energy is -7.272 eV per atom. The calculated density is 5.6 Mg/m³.

Lattice parameters (Å, degrees): 15.6626 4.7369 5.1644 90.00 95.10 90.00
Closest atoms and distances in Å follow each position.
Space group C2/m (No. 12)
One atom of each set of equivalent atoms:
Ti (0.0426, 0.0000, 0.2595)  2 Si 2.77, 5 Ti 2.85-3.01, 2 Sn 3.02-3.06
Ti (0.0843, 0.5000, 0.5506)  5 Ti 2.64-2.85, 1 Si 2.77, 2 Sn 2.84
Ti (0.1645, 0.5000, 0.1039)  1 Si 2.58, 4 Ti 2.72-2.88, 3 Sn 2.85-2.89
Ti (0.2354, 0.0000, 0.3386)  4 Sn 2.80-3.07, 7 Ti 2.83-3.01
Si (0.0000, 0.5000, 0.0000)  8 Ti 2.58-2.77
Sn (0.1512, 0.0000, 0.7948)  12 Ti 2.80-3.11